[1]
DFT (meta-GGA SCAN) results for a crystal of MgBiSbTe2 relaxed with PBEsol.

abc: 5.340 5.340 5.309
angles: 90.00 90.00 90.00
Fractional coordinates of all 5 atoms:
Sb: 0.000 0.000 0.500
Te: 0.500 0.000 0.000
Te: 0.000 0.500 0.000
Bi: 0.500 0.500 0.500
Mg: 0.000 0.000 0.000

SG ... P4/mmm
Energy relative to the elements, uncorrected ... 0.365 eV per atom
Magnetization ... 0.000 μB per formula unit
Raw total energy ... -2.84429 Ry per atom

=====

[2]
DFT (meta-GGA SCAN) results for a crystal of MgSc2Bi relaxed with PBEsol.

abc: 3.334 3.334 11.017
angles: 81.30 81.30 60.00
Fractional coordinates of all 4 atoms:
Sc: 0.909 0.909 0.273
Sc: 0.091 0.091 0.727
Bi: 0.000 0.000 0.000
Mg: 0.500 0.500 0.500

ΔH_f (0 K) ... 0.5 eV per formula unit
SG ... R-3m
Magnetization ... 0.027 μB per formula unit
Raw total energy ... -2.04964 Ry per atom

=====

[3]
DFT (meta-GGA SCAN) results for a crystal of MgScBi2 relaxed with PBEsol.

abc: 6.588 6.588 6.588
angles: 105.33 105.33 118.12
Fractional coordinates of all 8 atoms:
Bi: 0.125 0.129 0.504
Bi: 0.379 0.875 0.004
Bi: 0.625 0.621 0.496
Bi: 0.871 0.375 0.996
Mg: 0.500 0.500 0.000
Mg: 0.750 0.250 0.500
Sc: 0.250 0.750 0.500
Sc: 0.000 0.000 0.000

ΔH_f (0 K) ... -0.9 eV per formula unit
SG ... I-42d
Magnetization ... 0.000 μB per formula unit
Raw total energy ... -3.25775 Ry per atom

=====

[4]
DFT (meta-GGA SCAN) results for a crystal of MgSiBi3 relaxed with PBEsol.

abc: 5.385 5.385 5.385
angles: 90.00 90.00 90.00
Fractional coordinates of all 5 atoms:
Bi: 0.000 0.500 0.000
Bi: 0.000 0.000 0.500
Bi: 0.500 0.000 0.000
Mg: 0.000 0.000 0.000
Si: 0.500 0.500 0.500

SG ... Pm-3m
Energy relative to the elements, uncorrected ... 0.956 eV per atom
Magnetization ... 0.000 μB per formula unit
Raw total energy ... -3.61537 Ry per atom

=====

[5]
DFT (meta-GGA SCAN) results for a crystal of Mg2SnBi2 relaxed with PBEsol.

abc: 3.483 8.838 8.838
angles: 90.00 90.00 90.00
Fractional coordinates of all 10 atoms:
Bi: 0.000 0.665 0.165
Bi: 0.000 0.835 0.665
Bi: 0.000 0.335 0.835
Bi: 0.000 0.165 0.335
Mg: 0.500 0.134 0.634
Mg: 0.500 0.866 0.366
Mg: 0.500 0.366 0.134
Mg: 0.500 0.634 0.866
Sn: 0.000 0.000 0.000
Sn: 0.000 0.500 0.500

ΔH_f (0 K) ... -0.2 eV per formula unit
SG ... P4/mbm
Magnetization ... 0.000 μB per formula unit
Raw total energy ... -2.98803 Ry per atom

=====

[6]
DFT (meta-GGA SCAN) results for a crystal of MgSnBi3 relaxed with PBEsol.

abc: 5.449 5.449 5.449
angles: 90.00 90.00 90.00
Fractional coordinates of all 5 atoms:
Bi: 0.000 0.500 0.000
Bi: 0.000 0.000 0.500
Bi: 0.500 0.000 0.000
Mg: 0.000 0.000 0.000
Sn: 0.500 0.500 0.500

ΔH_f (0 K) ... 2.7 eV per formula unit
SG ... Pm-3m
Magnetization ... 0.000 μB per formula unit
Raw total energy ... -4.02659 Ry per atom